1.
11
Lattice="7.334 -2.197 0.000 7.334 2.197 0.000 -1.440 0.000 5.993" Properties=species:S:1:pos:R:3 comment="Li8TlAg2 | Alexandria via LeMat-Bulk | PBE | relaxed" spacegroup="C2/m, No. 12" polymorph_energy_ev_per_fu=0.00 pbc="T T T"
Li 0.386 0.000 1.454
Li 1.064 0.000 4.190
Li 3.781 0.000 3.518
Li 5.797 0.000 0.200
Li 7.431 0.000 5.794
Li 9.447 0.000 2.475
Li 12.163 0.000 1.803
Li 12.842 0.000 4.539
Tl 6.614 0.000 2.997
Ag 3.108 0.000 0.852
Ag 10.120 0.000 5.141


2.
18
Lattice="2.339 -10.767 0.000 2.339 10.767 0.000 0.000 0.000 15.337" Properties=species:S:1:pos:R:3 comment="Cs2KHgBr5 | Alexandria via LeMat-Bulk | PBE | relaxed" formation_energy_uncorrected_ev_per_atom=-1.3305 spacegroup="Cmc2_1, No. 36" pbc="T T T"
Cs 2.339 8.083 7.668
Cs 2.339 7.767 2.285
Cs 2.339 -7.767 9.953
Cs 2.339 -8.083 0.000
K 2.339 6.365 13.078
K 2.339 -6.365 5.410
Hg 2.339 1.128 3.635
Hg 2.339 -1.128 11.304
Br 2.339 9.989 12.761
Br 2.339 4.453 7.625
Br 2.339 3.743 3.022
Br 2.339 3.150 12.684
Br 2.339 0.159 9.026
Br 2.339 -0.159 1.357
Br 2.339 -3.150 5.016
Br 2.339 -3.743 10.690
Br 2.339 -4.453 15.294
Br 2.339 -9.989 5.093


3.
8
Lattice="0.000 5.522 6.975 2.375 0.000 6.975 2.375 5.522 0.000" Properties=species:S:1:pos:R:3 comment="TeH | Alexandria via LeMat-Bulk | PBE | relaxed" spacegroup="Fddd, No. 70" polymorph_energy_ev_per_fu=0.22 pbc="T T T"
Te 1.782 4.141 0.175
Te 2.969 6.902 3.663
Te 1.782 4.141 10.287
Te 2.969 6.902 13.774
H 1.782 1.628 5.231
H 2.969 4.388 8.718
H 1.782 6.655 5.231
H 2.969 9.416 8.718


4.
14
Lattice="5.741 -3.562 0.000 5.741 3.562 0.000 -4.114 0.000 8.896" Properties=species:S:1:pos:R:3 comment="Sn5PtRh | Alexandria via LeMat-Bulk | PBE | relaxed" dft_energy_ev_per_atom=-4.917 spacegroup="C2/c, No. 15" pbc="T T T"
Sn 2.655 2.757 6.672
Sn 0.292 0.710 5.509
Sn 0.521 1.023 8.610
Sn 2.349 -0.710 1.061
Sn 4.790 1.023 4.735
Sn 2.578 -1.023 4.162
Sn 5.019 0.710 7.835
Sn 6.846 -1.023 0.287
Sn 7.076 -0.710 3.387
Sn 4.712 -2.757 2.224
Pt 0.000 0.000 0.000
Pt -2.057 0.000 4.448
Rh 2.655 0.111 6.672
Rh 4.712 -0.111 2.224


5.
4
Lattice="3.324 0.000 0.000 0.000 1.676 5.492 0.000 -1.676 5.492" Properties=species:S:1:pos:R:3 comment="BeMoAs2 | Alexandria via LeMat-Bulk | PBE | relaxed" dft_energy_ev_per_atom=-6.059 spacegroup="Amm2, No. 38" pbc="T T T"
Be 0.000 0.000 0.000
Mo 1.662 0.000 9.033
As 0.000 0.000 2.383
As 1.662 0.000 5.508


6.
5
Lattice="5.213 0.000 0.000 0.000 5.213 0.000 0.000 0.000 4.910" Properties=species:S:1:pos:R:3 comment="Cd2CuAuI | Alexandria via LeMat-Bulk | PBE | relaxed" formation_energy_uncorrected_ev_per_atom=0.2202 spacegroup="P4/mmm, No. 123" pbc="T T T"
Cd 0.000 2.606 0.000
Cd 2.606 0.000 0.000
Cu 0.000 0.000 0.000
Au 0.000 0.000 2.455
I 2.606 2.606 2.455